No. 1
Here is ZrPaTcRh after structural relaxation from the Alexandria database. Energies are from GGA-PBE.

a b c (Å): 6.742 6.742 6.742
angles (deg): 90.00 90.00 90.00
Space group F-43m (No. 216)
Symmetry-distinct sites (fractional):
Zr 0.000 0.000 0.000 [4 per cell]
Pa 0.000 0.000 0.500 [4 per cell]
Tc 0.250 0.250 0.750 [4 per cell]
Rh 0.250 0.250 0.250 [4 per cell]

Results
E_form = -0.46 eV/atom
crystal system = cubic

No. 2
Here is CsHf2SiPd after structural relaxation from the Alexandria database. Energies are from GGA-PBE.

a b c (Å): 4.979 4.979 6.302
angles (deg): 90.00 90.00 90.00
Space group P4/mmm (No. 123)
Symmetry-distinct sites (fractional):
Cs 0.000 0.000 0.000 [1 per cell]
Hf 0.000 0.500 0.500 [2 per cell]
Si 0.000 0.000 0.500 [1 per cell]
Pd 0.500 0.500 0.000 [1 per cell]

Results
crystal system = tetragonal
total DFT energy (no corrections) = -26.42 eV for the cell shown